No. 1
First-principles (PBE-GGA) data for Tb2Nd4Ho3 after structural relaxation, as listed in Alexandria via LeMat-Bulk.

Lattice parameters (Å, degrees): 5.1023 6.2252 10.8108 73.43 89.99 65.86
Closest atoms and distances in Å follow each position.
Atoms (fractional coordinates):
Ho 0.6662 0.6676 0.5541  3 Tb 3.57-3.60, 3 Ho 3.59, 6 Nd 3.59-3.61
Nd 0.9989 0.0021 0.6666  3 Tb 3.59, 6 Ho 3.59-3.61, 3 Nd 3.61
Tb 0.6680 0.6640 0.2243  5 Ho 3.57-3.63, 7 Nd 3.59-3.63
Ho 0.0000 0.0000 0.0000  8 Nd 3.60, 4 Tb 3.62-3.63
Nd 0.6665 0.6672 0.8885  4 Ho 3.60-3.61, 4 Tb 3.60-3.63, 4 Nd 3.61-3.62
Nd 0.3335 0.3328 0.1115  4 Ho 3.60-3.61, 4 Tb 3.60-3.63, 4 Nd 3.61-3.62
Tb 0.3320 0.3360 0.7757  5 Ho 3.57-3.63, 7 Nd 3.59-3.63
Nd 0.0011 0.9979 0.3334  3 Tb 3.59, 6 Ho 3.59-3.61, 3 Nd 3.61
Ho 0.3338 0.3324 0.4459  3 Tb 3.57-3.60, 3 Ho 3.59, 6 Nd 3.59-3.61

Results
formation energy = 0.02 eV per atom
excess energy over the best structure of this formula in the dataset = 0.000 eV/atom
spin magnetization = 0.00 μB/f.u.
D(E_F) = 11.75 states/eV per cell
mass density = 7.8 g cm⁻³


No. 2
First-principles (PBE-GGA) data for Tb2Nd2Ho after structural relaxation, as listed in Alexandria via LeMat-Bulk.

Lattice parameters (Å, degrees): 6.3396 8.5721 9.6714 43.44 70.87 68.30
Closest atoms and distances in Å follow each position.
Atoms (fractional coordinates):
Tb 0.0146 0.2562 0.5485  4 Tb 3.50-3.62, 3 Ho 3.55-3.65, 5 Nd 3.58-3.68
Tb 0.8193 0.2438 0.9515  4 Tb 3.50-3.62, 3 Ho 3.55-3.65, 5 Nd 3.58-3.68
Tb 0.9854 0.7438 0.4515  4 Tb 3.50-3.62, 3 Ho 3.55-3.65, 5 Nd 3.58-3.68
Ho 0.5836 0.7500 0.2500  6 Tb 3.55-3.65, 4 Nd 3.56-3.65, 2 Ho 3.58
Nd 0.3867 0.7463 0.6516  2 Ho 3.56-3.65, 5 Tb 3.58-3.68, 5 Nd 3.58-3.67
Ho 0.4164 0.2500 0.7500  6 Tb 3.55-3.65, 4 Nd 3.56-3.65, 2 Ho 3.58
Nd 0.7845 0.7537 0.8484  2 Ho 3.56-3.65, 5 Tb 3.58-3.68, 5 Nd 3.58-3.67
Nd 0.2155 0.2463 0.1516  2 Ho 3.56-3.65, 5 Tb 3.58-3.68, 5 Nd 3.58-3.67
Nd 0.6133 0.2537 0.3484  2 Ho 3.56-3.65, 5 Tb 3.58-3.68, 5 Nd 3.58-3.67
Tb 0.1807 0.7562 0.0485  4 Tb 3.50-3.62, 3 Ho 3.55-3.65, 5 Nd 3.58-3.68

Results
formation energy = 0.02 eV per atom
excess energy over the best structure of this formula in the dataset = 0.000 eV/atom
spin magnetization = 0.00 μB/f.u.
D(E_F) = 17.44 states/eV per cell
mass density = 7.7 g cm⁻³


No. 3
First-principles (PBE-GGA) data for Tb6NdHo2 after structural relaxation, as listed in Alexandria via LeMat-Bulk.

Lattice parameters (Å, degrees): 3.5691 8.7258 12.8360 132.73 82.01 90.05
Closest atoms and distances in Å follow each position.
Atoms (fractional coordinates):
Nd 0.0000 0.0000 0.0000  2 Nd 3.57, 6 Tb 3.58, 4 Ho 3.58
Ho 0.4444 0.7759 0.1114  7 Tb 3.54-3.59, 3 Ho 3.54-3.57, 2 Nd 3.58
Tb 0.6676 0.6645 0.6649  9 Tb 3.54-3.58, 2 Nd 3.58, 1 Ho 3.59
Ho 0.5556 0.2241 0.8886  7 Tb 3.54-3.59, 3 Ho 3.54-3.57, 2 Nd 3.58
Tb 0.2213 0.8908 0.5562  10 Tb 3.54-3.57, 2 Ho 3.56
Tb 0.3324 0.3355 0.3351  9 Tb 3.54-3.58, 2 Nd 3.58, 1 Ho 3.59
Tb 0.7787 0.1092 0.4438  10 Tb 3.54-3.57, 2 Ho 3.56
Tb 0.8884 0.5570 0.2224  4 Ho 3.54-3.57, 7 Tb 3.54-3.58, 1 Nd 3.58
Tb 0.1116 0.4430 0.7776  4 Ho 3.54-3.57, 7 Tb 3.54-3.58, 1 Nd 3.58

Results
formation energy = 0.02 eV per atom
excess energy over the best structure of this formula in the dataset = 0.000 eV/atom
spin magnetization = 0.00 μB/f.u.
D(E_F) = 12.54 states/eV per cell
mass density = 8.2 g cm⁻³